(1)
IrPbBr2 (PBE, relaxed); energy above the most stable polymorph in this dataset = 170 meV per atom
1.0
3.908 0.000 0.000
0.000 3.908 0.000
0.000 0.000 8.154
Ir Pb Br
1 1 2
Cartesian
0.000 0.000 0.000
1.954 1.954 7.819
0.000 0.000 2.363
1.954 1.954 5.160


(2)
Ir2PbBr (PBE, relaxed); energy above the most stable polymorph in this dataset = 26 meV per atom
1.0
3.612 0.000 0.000
0.000 3.735 0.000
-1.218 0.000 7.106
Ir Pb Br
2 1 1
Cartesian
0.000 0.000 0.000
0.402 1.868 6.575
3.028 1.868 1.977
1.247 0.000 4.748


(3)
Ir2PbBr (PBE, relaxed); energy above the most stable polymorph in this dataset = 382 meV per atom
1.0
4.840 0.000 0.000
0.000 4.840 0.000
0.000 0.000 15.852
Ir Pb Br
8 4 4
Cartesian
0.617 1.210 1.982
1.210 3.037 5.945
1.210 4.223 13.871
1.803 1.210 9.908
3.037 3.630 9.908
3.630 0.617 13.871
3.630 1.803 5.945
4.223 3.630 1.982
0.000 0.000 7.926
0.000 2.420 11.889
2.420 0.000 3.963
2.420 2.420 0.000
0.000 0.000 0.000
0.000 2.420 3.963
2.420 0.000 11.889
2.420 2.420 7.926


(4)
IrPb2Br (PBE, relaxed); energy above the most stable polymorph in this dataset = 154 meV per atom
1.0
3.591 0.000 0.000
0.000 5.377 0.000
-1.788 0.000 5.671
Ir Pb Br
1 2 1
Cartesian
0.000 0.000 0.000
1.797 0.000 2.114
1.804 2.688 5.560
0.009 2.688 2.984


(5)
IrPb2Br (PBE, relaxed); energy above the most stable polymorph in this dataset = 202 meV per atom
1.0
6.822 0.000 0.000
0.000 6.822 0.000
0.000 0.000 12.639
Ir Pb Br
4 8 4
Cartesian
0.000 0.000 0.000
0.000 3.411 3.160
3.411 0.000 9.479
3.411 3.411 6.319
1.224 1.706 1.580
1.706 4.635 4.740
1.706 5.598 11.059
2.187 1.706 7.899
4.635 5.117 7.899
5.117 1.224 11.059
5.117 2.187 4.740
5.598 5.117 1.580
0.000 0.000 6.319
0.000 3.411 9.479
3.411 0.000 3.160
3.411 3.411 0.000


(6)
Ir2PbBr (PBE, relaxed); energy above the most stable polymorph in this dataset = 426 meV per atom
1.0
5.926 0.000 0.000
0.000 9.603 0.000
-1.643 0.000 2.693
Ir Pb Br
4 2 2
Cartesian
1.482 2.401 0.000
1.482 7.202 0.000
4.445 2.401 0.000
4.445 7.202 0.000
-0.822 0.000 1.347
2.142 4.801 1.347
-0.822 4.801 1.347
2.142 0.000 1.347


(7)
IrPbBr2 (PBE, relaxed); energy above the most stable polymorph in this dataset = 318 meV per atom
1.0
3.562 0.000 0.000
0.000 6.316 0.000
0.000 0.000 9.333
Ir Pb Br
2 2 4
Cartesian
0.000 0.000 0.000
1.781 3.158 0.000
0.000 0.000 4.666
1.781 3.158 4.666
0.000 3.158 1.736
0.000 3.158 7.596
1.781 0.000 1.736
1.781 0.000 7.596


(8)
IrPb2Br (PBE, relaxed); energy above the most stable polymorph in this dataset = 109 meV per atom
1.0
3.919 0.000 0.000
0.000 3.919 0.000
0.000 0.000 7.947
Ir Pb Br
1 2 1
Cartesian
0.000 0.000 0.000
0.000 0.000 2.655
1.960 1.960 7.679
1.960 1.960 4.078


(9)
IrPb2Br (PBE, relaxed); energy above the most stable polymorph in this dataset = 631 meV per atom
1.0
7.282 0.000 0.000
0.000 7.282 0.000
0.000 0.000 7.282
Ir Pb Br
4 8 4
Cartesian
0.000 0.000 0.000
0.000 3.641 3.641
3.641 0.000 3.641
3.641 3.641 0.000
0.000 0.000 3.641
0.000 3.641 0.000
1.821 1.821 5.462
1.821 5.462 1.821
3.641 0.000 0.000
3.641 3.641 3.641
5.462 1.821 1.821
5.462 5.462 5.462
1.821 1.821 1.821
1.821 5.462 5.462
5.462 1.821 5.462
5.462 5.462 1.821


(10)
IrPbBr2 (PBE, relaxed); energy above the most stable polymorph in this dataset = 0 meV per atom
1.0
4.291 0.000 0.000
0.000 5.082 0.000
0.000 0.000 10.215
Ir Pb Br
2 2 4
Cartesian
0.000 0.000 0.000
0.000 2.541 5.107
2.145 0.000 1.600
2.145 2.541 6.708
0.000 0.000 4.674
0.000 2.541 9.782
2.145 0.000 8.450
2.145 2.541 3.343


(11)
# Ir4PbBr

An optimized crystal structure of Ir4PbBr (PBE, Alexandria).

Cell and atoms, written as POSCAR:
```
Ir4PbBr
1.0
0.000 3.837 3.837
3.837 0.000 3.837
3.837 3.837 0.000
Ir Pb Br
4 1 1
Cartesian
0.959 0.959 0.959
2.878 2.878 0.959
2.878 0.959 2.878
0.959 2.878 2.878
5.756 5.756 5.756
3.837 3.837 3.837
```


(12)
Ir2PbBr (PBE, relaxed); energy above the most stable polymorph in this dataset = 404 meV per atom
1.0
3.153 0.000 0.000
0.000 4.747 0.000
-0.335 0.000 5.143
Ir Pb Br
2 1 1
Cartesian
0.536 0.000 1.433
2.281 0.000 3.710
1.576 2.374 0.000
-0.168 2.374 2.572


(13)
Ir2PbBr (PBE, relaxed); energy above the most stable polymorph in this dataset = 544 meV per atom
1.0
4.432 0.000 0.000
0.000 4.432 0.000
0.000 0.000 7.593
Ir Pb Br
4 2 2
Cartesian
0.000 2.216 1.898
0.000 2.216 5.695
2.216 0.000 1.898
2.216 0.000 5.695
0.000 0.000 0.000
2.216 2.216 3.796
0.000 0.000 3.796
2.216 2.216 0.000


(14)
IrPb2Br (PBE, relaxed); energy above the most stable polymorph in this dataset = 0 meV per atom
1.0
4.090 0.000 0.000
-2.045 3.542 0.000
0.000 0.000 22.999
Ir Pb Br
3 6 3
Cartesian
0.000 0.000 0.000
0.000 2.361 15.333
2.045 1.181 7.666
0.000 0.000 6.196
0.000 0.000 16.804
0.000 2.361 9.137
0.000 2.361 21.529
2.045 1.181 1.471
2.045 1.181 13.862
0.000 0.000 11.500
0.000 2.361 3.833
2.045 1.181 19.166


(15)
IrPb2Br (PBE, relaxed); energy above the most stable polymorph in this dataset = 264 meV per atom
1.0
8.081 0.000 0.000
0.000 7.839 0.000
-1.113 0.000 3.136
Ir Pb Br
2 4 2
Cartesian
0.000 0.000 0.000
4.040 3.920 0.000
1.464 1.960 1.568
1.464 5.879 1.568
5.504 1.960 1.568
5.504 5.879 1.568
0.000 3.920 0.000
4.040 0.000 0.000


(16)
# IrPb2Br8

An optimized crystal structure of IrPb2Br8 (PBE, Alexandria).

Cell and atoms, written as POSCAR:
```
IrPb2Br8
1.0
7.432 -3.428 0.000
7.432 3.428 0.000
-0.168 0.000 7.457
Ir Pb Br
1 2 8
Cartesian
0.000 0.000 0.000
1.903 0.000 4.018
12.794 0.000 3.439
2.293 0.000 6.970
6.908 1.725 5.680
7.789 1.725 1.777
4.590 0.000 3.166
10.107 0.000 4.291
6.908 -1.725 5.680
7.789 -1.725 1.777
12.404 0.000 0.487
```


(17)
IrPb2Br (PBE, relaxed); energy above the most stable polymorph in this dataset = 49 meV per atom
1.0
3.458 0.000 0.000
0.000 3.458 0.000
0.000 0.000 8.213
Ir Pb Br
1 2 1
Cartesian
0.000 0.000 0.000
1.729 1.729 1.750
1.729 1.729 6.463
0.000 0.000 4.107


(18)
# IrPdPb2Br

An optimized crystal structure of IrPdPb2Br (PBE, Alexandria).

Cell and atoms, written as POSCAR:
```
IrPdPb2Br
1.0
5.537 0.000 0.000
0.000 5.537 0.000
0.000 0.000 4.791
Ir Pd Pb Br
1 1 2 1
Cartesian
0.000 0.000 0.000
0.000 0.000 2.395
0.000 2.768 2.395
2.768 0.000 2.395
2.768 2.768 0.000
```


(19)
# Pr3IrPbBr

An optimized crystal structure of Pr3IrPbBr (PBE, Alexandria).

Cell and atoms, written as POSCAR:
```
Pr3IrPbBr
1.0
8.069 0.000 0.000
0.000 4.558 0.000
-3.773 0.000 9.682
Pr Ir Pb Br
6 2 2 2
Cartesian
-1.148 1.139 3.498
-2.123 1.139 9.572
1.110 3.418 5.838
3.186 1.139 3.844
6.419 3.418 0.110
5.444 3.418 6.184
-0.607 1.139 6.236
4.903 3.418 3.446
1.007 3.418 2.261
3.289 1.139 7.421
-0.392 3.418 8.567
4.688 1.139 1.115
```


(20)
# Pr6Ir2PbBr3

An optimized crystal structure of Pr6Ir2PbBr3 (PBE, Alexandria).

Cell and atoms, written as POSCAR:
```
Pr6Ir2PbBr3
1.0
9.965 -2.149 0.000
9.965 2.149 0.000
-2.695 0.000 8.865
Pr Ir Pb Br
6 2 1 3
Cartesian
-0.206 0.000 2.293
5.185 0.000 3.894
4.301 0.000 7.659
12.934 0.000 1.207
12.050 0.000 4.971
17.441 0.000 6.572
2.472 0.000 3.054
14.764 0.000 5.812
9.965 0.000 0.000
0.991 0.000 7.479
8.618 0.000 4.433
16.245 0.000 1.386
```


Across the entries above, E_form (uncorrected) takes the values 0.2108; 0.4776; 0.8328; 0.1235; 0.1715; 0.8770; 0.3589; 0.0787; 0.6009; 0.0413; 0.8871; 0.8554; 0.9950; -0.0302; 0.2338; -0.5412; 0.0184; 0.6407; -0.7042; -1.0126 eV/atom, respectively.